(1)
La5Ag3 | SCAN | PBEsol geometry

abc: 5.368 6.552 6.552
angles: 106.93 90.00 90.00
Sites, in units of the cell vectors:
Ag  0.000  0.500  0.500
Ag  0.500  0.779  0.221
Ag  0.500  0.221  0.779
La  0.000  0.000  0.000
La  0.000  0.500  0.000
La  0.000  0.000  0.500
La  0.500  0.714  0.714
La  0.500  0.286  0.286

Properties
Its volume is 27.6 Å³ per atom. Its energy above the most stable polymorph in this dataset is 79 meV per atom. The total DFT energy (no corrections) is -310.7 eV per cell. The crystal system is orthorhombic. The density of states at the Fermi level is 1.119 states/eV per atom. The total moment comes out at 0.246 μB/atom.

---

(2)
BaMoSeO6 | SCAN | PBEsol geometry

abc: 6.200 8.366 10.179
angles: 90.00 90.00 95.10
Sites, in units of the cell vectors:
Ba  0.731  0.012  0.691
Ba  0.731  0.512  0.809
Ba  0.269  0.488  0.191
Ba  0.269  0.988  0.309
Mo  0.223  0.767  0.922
Mo  0.777  0.233  0.078
Mo  0.777  0.733  0.422
Mo  0.223  0.267  0.578
Se  0.287  0.177  0.899
Se  0.713  0.323  0.399
Se  0.713  0.823  0.101
Se  0.287  0.677  0.601
O  0.177  0.057  0.590
O  0.985  0.827  0.851
O  0.608  0.506  0.388
O  0.608  0.006  0.112
O  0.816  0.200  0.910
O  0.444  0.279  0.017
O  0.823  0.943  0.410
O  0.184  0.300  0.410
O  0.588  0.241  0.260
O  0.015  0.673  0.351
O  0.412  0.759  0.740
O  0.588  0.741  0.240
O  0.392  0.494  0.612
O  0.985  0.327  0.649
O  0.412  0.259  0.760
O  0.184  0.800  0.090
O  0.392  0.994  0.888
O  0.556  0.221  0.517
O  0.177  0.557  0.910
O  0.444  0.779  0.483
O  0.816  0.700  0.590
O  0.823  0.443  0.090
O  0.556  0.721  0.983
O  0.015  0.173  0.149

Properties
Its volume is 14.6 Å³ per atom. The total DFT energy (no corrections) is -603.8 eV per cell. The crystal system is monoclinic. As for the formation energy from raw total energies: -2.12 eV/atom. The density of states at the Fermi level is 0.000 states/eV per atom. The total moment comes out at 0.000 μB/atom.

---

(3)
KZrHg3 | SCAN | PBEsol geometry

abc: 5.527 5.527 5.527
angles: 90.00 90.00 90.00
Sites, in units of the cell vectors:
K  0.500  0.500  0.500
Hg  0.000  0.500  0.000
Hg  0.000  0.000  0.500
Hg  0.500  0.000  0.000
Zr  0.000  0.000  0.000

Properties
Its volume is 33.8 Å³ per atom. The total DFT energy (no corrections) is -243.2 eV per cell. The crystal system is cubic. The density of states at the Fermi level is 0.946 states/eV per atom. The total moment comes out at 0.000 μB/atom.

---

(4)
NbAg3O | SCAN | PBEsol geometry

abc: 4.362 4.362 4.362
angles: 90.00 90.00 90.00
Sites, in units of the cell vectors:
Nb  0.500  0.500  0.500
O  0.000  0.000  0.000
Ag  0.000  0.500  0.000
Ag  0.000  0.000  0.500
Ag  0.500  0.000  0.000

Properties
Its volume is 16.6 Å³ per atom. The total DFT energy (no corrections) is -130.4 eV per cell. The crystal system is cubic. As for the formation energy from raw total energies: 0.62 eV/atom. The density of states at the Fermi level is 0.581 states/eV per atom. The total moment comes out at 0.708 μB/atom.

---

(5)
Tl2ZnTe | SCAN | PBEsol geometry

abc: 4.798 4.722 6.406
angles: 112.27 90.00 120.53
Sites, in units of the cell vectors:
Te  0.500  0.000  0.000
Tl  0.736  0.473  0.711
Tl  0.264  0.527  0.289
Zn  0.000  0.000  0.500

Properties
Its volume is 28.1 Å³ per atom. Its energy above the most stable polymorph in this dataset is 55 meV per atom. The total DFT energy (no corrections) is -195.5 eV per cell. The crystal system is monoclinic. As for the formation energy from raw total energies: 0.00 eV/atom. The density of states at the Fermi level is 0.099 states/eV per atom. The total moment comes out at 0.000 μB/atom.

---

(6)
BaSbPb2 | SCAN | PBEsol geometry

abc: 4.954 4.954 5.076
angles: 90.00 90.00 90.00
Sites, in units of the cell vectors:
Pb  0.000  0.500  0.000
Pb  0.500  0.000  0.000
Sb  0.500  0.500  0.500
Ba  0.000  0.000  0.500

Properties
Its volume is 31.1 Å³ per atom. The total DFT energy (no corrections) is -230.3 eV per cell. The crystal system is tetragonal. As for the formation energy from raw total energies: -0.49 eV/atom. The density of states at the Fermi level is 0.613 states/eV per atom. The total moment comes out at 0.000 μB/atom.

---

> Which value of total DFT energy (no corrections) does entry 3 give?

-243.2 eV per cell